[1]
## Pm2ThPaRh4 (PBE-GGA)

Data for an optimized crystal structure of Pm2ThPaRh4.

```
Pm2ThPaRh4
1.0
-3.548 1.364 -1.229
2.024 -0.932 -6.878
-1.774 -6.400 -1.979
Pm Rh Pa Th
2 4 1 1
Cartesian
-2.661 -2.518 -1.604
-1.774 -6.400 -1.979
-2.521 -4.251 -3.931
-3.460 -0.542 -3.598
-0.778 -1.718 -6.154
0.162 -5.427 -6.488
0.125 -3.666 -4.428
-0.762 0.216 -4.053
```

Properties
As for the theoretical density: 10.195 g/cm3. As for the crystal system: monoclinic. Its spin magnetization is 0.0 μB/f.u. The formation energy is -0.7473 eV per atom.

***

[2]
## TbEr2TmTl2 (PBE-GGA)

Data for an optimized crystal structure of TbEr2TmTl2.

```
TbEr2TmTl2
1.0
5.052 0.000 0.000
0.000 6.811 0.000
0.000 0.000 9.881
Er Tb Tm Tl
4 2 2 4
Cartesian
0.000 2.310 1.839
2.526 3.770 9.445
2.526 0.365 0.436
0.000 5.716 8.042
0.000 6.539 4.512
0.000 3.133 5.369
2.526 1.199 6.825
2.526 4.605 3.056
0.000 2.035 8.565
2.526 1.485 3.634
2.526 4.890 6.247
0.000 5.440 1.316
```

Properties
As for the theoretical density: 10.462 g/cm3. As for the crystal system: orthorhombic. Its spin magnetization is 0.0 μB/f.u. The formation energy is -0.2631 eV per atom.

***

The lowest theoretical density belongs to which entry? Pm2ThPaRh4

***

Number 1 is which compound? Pm2ThPaRh4